Density functional theory data (PBE) for an optimized crystal structure of Pa2TlNi.

Properties
M_tot   0.00 μB/f.u.
Distance to the lowest polymorph of the same formula   0 meV/atom
E_tot   -27.35 eV/f.u.
DFT formation energy   -5 kJ per mole of atoms
Volume   22.0 Å³ per atom

The structure in CIF format:
```
data_Pa2TlNi
_space_group_name_H-M_alt 'P 1'
_space_group_IT_number 1
_space_group_name_Hall 'P 1'
_cell_length_a 3.187
_cell_length_b 3.187
_cell_length_c 8.667
_cell_angle_alpha 90.00
_cell_angle_beta 90.00
_cell_angle_gamma 90.00
loop_
_atom_site_label
_atom_site_type_symbol
_atom_site_fract_x
_atom_site_fract_y
_atom_site_fract_z
Ni1 Ni 0.500 0.500 0.000
Pa1 Pa 0.000 0.000 0.793
Pa2 Pa 0.000 0.000 0.207
Tl1 Tl 0.500 0.500 0.500
```


Density functional theory data (PBE) for an optimized crystal structure of Rb3CrCl4.

Properties
M_tot   5.00 μB/f.u.
E_tot   -31.29 eV/f.u.
Formation energy without anion corrections   -1.42 eV per atom
Volume   37.8 Å³ per atom

The structure in CIF format:
```
data_Rb3CrCl4
_space_group_name_H-M_alt 'P 1'
_space_group_IT_number 1
_space_group_name_Hall 'P 1'
_cell_length_a 6.662
_cell_length_b 8.362
_cell_length_c 10.857
_cell_angle_alpha 90.00
_cell_angle_beta 90.00
_cell_angle_gamma 90.00
loop_
_atom_site_label
_atom_site_type_symbol
_atom_site_fract_x
_atom_site_fract_y
_atom_site_fract_z
Cl1 Cl 0.570 0.729 0.724
Cl2 Cl 0.070 0.271 0.224
Cl3 Cl 0.570 0.729 0.276
Cl4 Cl 0.070 0.271 0.776
Cl5 Cl 0.144 0.705 0.500
Cl6 Cl 0.644 0.295 0.000
Cl7 Cl 0.048 0.917 0.000
Cl8 Cl 0.548 0.083 0.500
Cr1 Cr 0.528 0.764 0.500
Cr2 Cr 0.028 0.236 0.000
Rb1 Rb 0.554 0.338 0.279
Rb2 Rb 0.054 0.662 0.779
Rb3 Rb 0.048 0.080 0.500
Rb4 Rb 0.054 0.662 0.221
Rb5 Rb 0.548 0.920 0.000
Rb6 Rb 0.554 0.338 0.721
```


Density functional theory data (PBE) for an optimized crystal structure of Tm3InTe2.

Properties
M_tot   0.00 μB/f.u.
Distance to the lowest polymorph of the same formula   22 meV/atom
E_tot   -27.94 eV/f.u.
Formation energy without anion corrections   -0.92 eV per atom
Volume   28.6 Å³ per atom

The structure in CIF format:
```
data_Tm3InTe2
_space_group_name_H-M_alt 'P 1'
_space_group_IT_number 1
_space_group_name_Hall 'P 1'
_cell_length_a 6.117
_cell_length_b 8.612
_cell_length_c 13.053
_cell_angle_alpha 90.00
_cell_angle_beta 90.00
_cell_angle_gamma 89.98
loop_
_atom_site_label
_atom_site_type_symbol
_atom_site_fract_x
_atom_site_fract_y
_atom_site_fract_z
Tm1 Tm 0.749 0.380 0.419
Tm2 Tm 0.251 0.620 0.581
Tm3 Tm 0.250 0.627 0.250
Tm4 Tm 0.250 0.141 0.579
Tm5 Tm 0.750 0.373 0.750
Tm6 Tm 0.750 0.859 0.421
Tm7 Tm 0.251 0.120 0.919
Tm8 Tm 0.250 0.127 0.250
Tm9 Tm 0.750 0.359 0.079
Tm10 Tm 0.250 0.641 0.921
Tm11 Tm 0.750 0.873 0.750
Tm12 Tm 0.749 0.880 0.081
In1 In 0.249 0.377 0.412
In2 In 0.751 0.623 0.588
In3 In 0.249 0.877 0.088
In4 In 0.751 0.123 0.912
Te1 Te 0.250 0.880 0.418
Te2 Te 0.250 0.878 0.743
Te3 Te 0.750 0.120 0.582
Te4 Te 0.750 0.122 0.257
Te5 Te 0.250 0.378 0.757
Te6 Te 0.750 0.622 0.243
Te7 Te 0.250 0.380 0.082
Te8 Te 0.750 0.620 0.918
```


Density functional theory data (PBE) for an optimized crystal structure of Mg2ZnIr2.

Properties
M_tot   0.14 μB/f.u.
E_tot   -23.67 eV/f.u.
DFT formation energy   -29 kJ per mole of atoms
Volume   17.0 Å³ per atom

The structure in CIF format:
```
data_Mg2ZnIr2
_space_group_name_H-M_alt 'P 1'
_space_group_IT_number 1
_space_group_name_Hall 'P 1'
_cell_length_a 6.479
_cell_length_b 6.479
_cell_length_c 4.044
_cell_angle_alpha 90.00
_cell_angle_beta 90.00
_cell_angle_gamma 90.00
loop_
_atom_site_label
_atom_site_type_symbol
_atom_site_fract_x
_atom_site_fract_y
_atom_site_fract_z
Ir1 Ir 0.138 0.362 0.000
Ir2 Ir 0.362 0.862 0.000
Ir3 Ir 0.638 0.138 0.000
Ir4 Ir 0.862 0.638 0.000
Mg1 Mg 0.665 0.835 0.500
Mg2 Mg 0.335 0.165 0.500
Mg3 Mg 0.165 0.665 0.500
Mg4 Mg 0.835 0.335 0.500
Zn1 Zn 0.000 0.000 0.000
Zn2 Zn 0.500 0.500 0.000
```


Density functional theory data (PBE) for an optimized crystal structure of Pr2ZnCd16.

Properties
M_tot   0.00 μB/f.u.
E_tot   -28.40 eV/f.u.
DFT formation energy   -15 kJ per mole of atoms
Volume   23.0 Å³ per atom

The structure in CIF format:
```
data_Pr2ZnCd16
_space_group_name_H-M_alt 'P 1'
_space_group_IT_number 1
_space_group_name_Hall 'P 1'
_cell_length_a 7.656
_cell_length_b 7.656
_cell_length_c 7.656
_cell_angle_alpha 82.38
_cell_angle_beta 82.38
_cell_angle_gamma 82.38
loop_
_atom_site_label
_atom_site_type_symbol
_atom_site_fract_x
_atom_site_fract_y
_atom_site_fract_z
Cd1 Cd 0.001 0.300 0.700
Cd2 Cd 0.700 0.001 0.300
Cd3 Cd 0.700 0.300 0.001
Cd4 Cd 0.300 0.700 0.001
Cd5 Cd 0.001 0.700 0.300
Cd6 Cd 0.979 0.979 0.533
Cd7 Cd 0.871 0.343 0.343
Cd8 Cd 0.629 0.201 0.629
Cd9 Cd 0.979 0.533 0.979
Cd10 Cd 0.093 0.093 0.093
Cd11 Cd 0.343 0.343 0.871
Cd12 Cd 0.629 0.629 0.201
Cd13 Cd 0.343 0.871 0.343
Cd14 Cd 0.533 0.979 0.979
Cd15 Cd 0.300 0.001 0.700
Cd16 Cd 0.201 0.629 0.629
Zn1 Zn 0.903 0.903 0.903
Pr1 Pr 0.671 0.671 0.671
Pr2 Pr 0.327 0.327 0.327
```


Density functional theory data (PBE) for an optimized crystal structure of Fe6Ni23Os.

Properties
M_tot   31.25 μB/f.u.
E_tot   -190.92 eV/f.u.
DFT formation energy   13 kJ per mole of atoms
Volume   11.6 Å³ per atom

The structure in CIF format:
```
data_Fe6Ni23Os
_space_group_name_H-M_alt 'P 1'
_space_group_IT_number 1
_space_group_name_Hall 'P 1'
_cell_length_a 7.892
_cell_length_b 7.892
_cell_length_c 7.892
_cell_angle_alpha 60.00
_cell_angle_beta 60.00
_cell_angle_gamma 60.00
loop_
_atom_site_label
_atom_site_type_symbol
_atom_site_fract_x
_atom_site_fract_y
_atom_site_fract_z
Ni1 Ni 0.642 0.642 0.642
Ni2 Ni 0.642 0.074 0.642
Ni3 Ni 0.000 0.500 0.000
Ni4 Ni 0.642 0.642 0.074
Ni5 Ni 0.126 0.126 0.126
Ni6 Ni 0.074 0.642 0.642
Ni7 Ni 0.926 0.358 0.358
Ni8 Ni 0.500 0.000 0.000
Ni9 Ni 0.000 0.000 0.500
Ni10 Ni 0.622 0.126 0.126
Ni11 Ni 0.378 0.874 0.874
Ni12 Ni 0.874 0.874 0.874
Ni13 Ni 0.358 0.358 0.358
Ni14 Ni 0.126 0.622 0.126
Ni15 Ni 0.358 0.358 0.926
Ni16 Ni 0.000 0.500 0.500
Ni17 Ni 0.874 0.874 0.378
Ni18 Ni 0.500 0.500 0.000
Ni19 Ni 0.000 0.000 0.000
Ni20 Ni 0.358 0.926 0.358
Ni21 Ni 0.874 0.378 0.874
Ni22 Ni 0.500 0.000 0.500
Ni23 Ni 0.126 0.126 0.622
Fe1 Fe 0.739 0.261 0.261
Fe2 Fe 0.739 0.739 0.261
Fe3 Fe 0.261 0.739 0.261
Fe4 Fe 0.739 0.261 0.739
Fe5 Fe 0.261 0.739 0.739
Fe6 Fe 0.261 0.261 0.739
Os1 Os 0.500 0.500 0.500
```


Density functional theory data (PBE) for an optimized crystal structure of BeTcPt2.

Properties
M_tot   0.00 μB/f.u.
E_tot   -26.98 eV/f.u.
DFT formation energy   -20 kJ per mole of atoms
Volume   13.8 Å³ per atom

The structure in CIF format:
```
data_BeTcPt2
_space_group_name_H-M_alt 'P 1'
_space_group_IT_number 1
_space_group_name_Hall 'P 1'
_cell_length_a 3.928
_cell_length_b 2.736
_cell_length_c 5.403
_cell_angle_alpha 71.89
_cell_angle_beta 90.00
_cell_angle_gamma 90.00
loop_
_atom_site_label
_atom_site_type_symbol
_atom_site_fract_x
_atom_site_fract_y
_atom_site_fract_z
Pt1 Pt 0.000 0.908 0.989
Pt2 Pt 0.000 0.592 0.511
Be1 Be 0.500 0.750 0.750
Tc1 Tc 0.500 0.250 0.250
```


Density functional theory data (PBE) for an optimized crystal structure of KTaO3.

Properties
M_tot   0.00 μB/f.u.
E_tot   -40.69 eV/f.u.
Formation energy without anion corrections   -2.57 eV per atom
Volume   14.9 Å³ per atom

The structure in CIF format:
```
data_KTaO3
_space_group_name_H-M_alt 'P 1'
_space_group_IT_number 1
_space_group_name_Hall 'P 1'
_cell_length_a 23.788
_cell_length_b 5.364
_cell_length_c 8.947
_cell_angle_alpha 90.00
_cell_angle_beta 164.91
_cell_angle_gamma 90.00
loop_
_atom_site_label
_atom_site_type_symbol
_atom_site_fract_x
_atom_site_fract_y
_atom_site_fract_z
K1 K 0.498 0.724 0.109
K2 K 0.998 0.776 0.609
K3 K 0.502 0.276 0.891
K4 K 0.002 0.224 0.391
O1 O 0.695 0.079 0.033
O2 O 0.805 0.579 0.467
O3 O 0.087 0.336 0.933
O4 O 0.305 0.921 0.967
O5 O 0.372 0.429 0.276
O6 O 0.628 0.571 0.724
O7 O 0.128 0.929 0.224
O8 O 0.913 0.664 0.067
O9 O 0.413 0.836 0.567
O10 O 0.872 0.071 0.776
O11 O 0.195 0.421 0.533
O12 O 0.587 0.164 0.433
Ta1 Ta 0.520 0.735 0.659
Ta2 Ta 0.480 0.265 0.341
Ta3 Ta 0.020 0.765 0.159
Ta4 Ta 0.980 0.235 0.841
```


Density functional theory data (PBE) for an optimized crystal structure of BeTlAg.

Properties
M_tot   0.00 μB/f.u.
Distance to the lowest polymorph of the same formula   2 meV/atom
E_tot   -7.74 eV/f.u.
DFT formation energy   39 kJ per mole of atoms
Volume   18.8 Å³ per atom

The structure in CIF format:
```
data_BeTlAg
_space_group_name_H-M_alt 'P 1'
_space_group_IT_number 1
_space_group_name_Hall 'P 1'
_cell_length_a 4.301
_cell_length_b 4.301
_cell_length_c 4.301
_cell_angle_alpha 60.00
_cell_angle_beta 60.00
_cell_angle_gamma 60.00
loop_
_atom_site_label
_atom_site_type_symbol
_atom_site_fract_x
_atom_site_fract_y
_atom_site_fract_z
Ag1 Ag 0.500 0.500 0.500
Tl1 Tl 0.000 0.000 0.000
Be1 Be 0.750 0.750 0.750
```


Density functional theory data (PBE) for an optimized crystal structure of Tc2Rh.

Properties
M_tot   0.00 μB/f.u.
Distance to the lowest polymorph of the same formula   12 meV/atom
E_tot   -28.40 eV/f.u.
DFT formation energy   -10 kJ per mole of atoms
Volume   14.4 Å³ per atom

The structure in CIF format:
```
data_Tc2Rh
_space_group_name_H-M_alt 'P 1'
_space_group_IT_number 1
_space_group_name_Hall 'P 1'
_cell_length_a 5.174
_cell_length_b 5.174
_cell_length_c 10.567
_cell_angle_alpha 140.61
_cell_angle_beta 140.61
_cell_angle_gamma 30.58
loop_
_atom_site_label
_atom_site_type_symbol
_atom_site_fract_x
_atom_site_fract_y
_atom_site_fract_z
Rh1 Rh 0.664 0.664 0.332
Rh2 Rh 0.114 0.114 0.723
Tc1 Tc 0.439 0.439 0.385
Tc2 Tc 0.339 0.339 0.670
Tc3 Tc 0.007 0.007 0.006
Tc4 Tc 0.770 0.770 0.050
```


Density functional theory data (PBE) for an optimized crystal structure of Dy2HgS.

Properties
M_tot   0.00 μB/f.u.
Distance to the lowest polymorph of the same formula   0 meV/atom
E_tot   -18.47 eV/f.u.
Formation energy without anion corrections   -1.21 eV per atom
Volume   24.5 Å³ per atom

The structure in CIF format:
```
data_Dy2HgS
_space_group_name_H-M_alt 'P 1'
_space_group_IT_number 1
_space_group_name_Hall 'P 1'
_cell_length_a 3.868
_cell_length_b 3.868
_cell_length_c 7.875
_cell_angle_alpha 75.79
_cell_angle_beta 75.79
_cell_angle_gamma 60.00
loop_
_atom_site_label
_atom_site_type_symbol
_atom_site_fract_x
_atom_site_fract_y
_atom_site_fract_z
Dy1 Dy 0.738 0.738 0.787
Dy2 Dy 0.262 0.262 0.213
S1 S 0.000 0.000 0.000
Hg1 Hg 0.500 0.500 0.500
```


Density functional theory data (PBE) for an optimized crystal structure of Pu2TiAs3Rh4.

Properties
M_tot   10.74 μB/f.u.
E_tot   -87.52 eV/f.u.
DFT formation energy   -73 kJ per mole of atoms
Volume   18.0 Å³ per atom

The structure in CIF format:
```
data_Pu2TiAs3Rh4
_space_group_name_H-M_alt 'P 1'
_space_group_IT_number 1
_space_group_name_Hall 'P 1'
_cell_length_a 4.062
_cell_length_b 4.062
_cell_length_c 10.922
_cell_angle_alpha 90.00
_cell_angle_beta 90.00
_cell_angle_gamma 90.00
loop_
_atom_site_label
_atom_site_type_symbol
_atom_site_fract_x
_atom_site_fract_y
_atom_site_fract_z
As1 As 0.000 0.500 0.135
As2 As 0.000 0.000 0.500
As3 As 0.500 0.000 0.865
Rh1 Rh 0.500 0.000 0.639
Rh2 Rh 0.500 0.500 0.000
Rh3 Rh 0.000 0.000 0.000
Rh4 Rh 0.000 0.500 0.361
Pu1 Pu 0.500 0.000 0.241
Pu2 Pu 0.000 0.500 0.759
Ti1 Ti 0.500 0.500 0.500
```


Question: What is the formula in the eighth record?
Answer: KTaO3


Question: What is the volume in the eleventh record?
Answer: 24.5 Å³ per atom